{
  "formula": "Tb3Ho12Pu",
  "functional": "PBE",
  "state": "relaxed",
  "spacegroup": "P4/mmm",
  "e_tot_ev_per_atom": -5.1567,
  "delta_e_f_mev_per_atom": 40.6,
  "cell": [[4.984, 0.000, 0.000], [0.000, 4.984, 0.000], [0.000, 0.000, 19.893]],
  "species": ["Tb", "Tb", "Tb", "Ho", "Ho", "Ho", "Ho", "Ho", "Ho", "Ho", "Ho", "Ho", "Ho", "Ho", "Ho", "Pu"],
  "fractional_positions": [[0.000, 0.000, 0.000], [0.000, 0.000, 0.252], [0.000, 0.000, 0.748], [0.000, 0.500, 0.126], [0.000, 0.500, 0.378], [0.000, 0.500, 0.622], [0.000, 0.500, 0.874], [0.500, 0.000, 0.126], [0.500, 0.000, 0.378], [0.500, 0.000, 0.622], [0.500, 0.000, 0.874], [0.500, 0.500, 0.000], [0.500, 0.500, 0.251], [0.500, 0.500, 0.500], [0.500, 0.500, 0.749], [0.000, 0.000, 0.500]]
}

---

{
  "formula": "HoAl11",
  "functional": "PBE",
  "state": "relaxed",
  "spacegroup": "I4_1/amd",
  "e_tot_ev_per_atom": -3.8541,
  "delta_e_f_mev_per_atom": -42.0,
  "cell": [[-5.488, 5.488, 3.602], [5.488, -5.488, 3.602], [5.488, 5.488, -3.602]],
  "species": ["Ho", "Ho", "Al", "Al", "Al", "Al", "Al", "Al", "Al", "Al", "Al", "Al", "Al", "Al", "Al", "Al", "Al", "Al", "Al", "Al", "Al", "Al", "Al", "Al"],
  "fractional_positions": [[0.375, 0.625, 0.750], [0.625, 0.375, 0.250], [0.000, 0.000, 0.000], [0.000, 0.000, 0.500], [0.000, 0.500, 0.000], [0.125, 0.875, 0.250], [0.134, 0.556, 0.335], [0.134, 0.799, 0.577], [0.201, 0.278, 0.335], [0.201, 0.866, 0.923], [0.278, 0.201, 0.835], [0.278, 0.444, 0.077], [0.444, 0.278, 0.577], [0.444, 0.866, 0.165], [0.500, 0.000, 0.500], [0.556, 0.134, 0.835], [0.556, 0.722, 0.423], [0.722, 0.556, 0.923], [0.722, 0.799, 0.165], [0.799, 0.134, 0.077], [0.799, 0.722, 0.665], [0.866, 0.201, 0.423], [0.866, 0.444, 0.665], [0.875, 0.125, 0.750]]
}